a:
KZrCoTe3: optimized geometry, GGA-PBE.

SG = Cmcm

Cell lengths 8.770, 8.770, 10.285 Å; angles 90.00, 90.00, 154.04 degrees
Fractional positions:
1 K 0.247 0.753 0.750
2 K 0.753 0.247 0.250
3 Zr 0.500 0.500 0.000
4 Zr 0.500 0.500 0.500
5 Co 0.015 0.985 0.250
6 Co 0.985 0.015 0.750
7 Te 0.118 0.882 0.075
8 Te 0.118 0.882 0.425
9 Te 0.422 0.578 0.250
10 Te 0.578 0.422 0.750
11 Te 0.882 0.118 0.575
12 Te 0.882 0.118 0.925


b:
KZrCoTe3: optimized geometry, GGA-PBE.

SG = Cmcm

Cell lengths 8.495, 8.495, 10.591 Å; angles 90.00, 90.00, 152.89 degrees
Fractional positions:
1 K 0.248 0.752 0.750
2 K 0.752 0.248 0.250
3 Zr 0.500 0.500 0.000
4 Zr 0.500 0.500 0.500
5 Co 0.024 0.976 0.250
6 Co 0.976 0.024 0.750
7 Te 0.123 0.877 0.064
8 Te 0.123 0.877 0.436
9 Te 0.427 0.573 0.250
10 Te 0.573 0.427 0.750
11 Te 0.877 0.123 0.564
12 Te 0.877 0.123 0.936


Verdict on stability: b comes out on top.


a:
KCoW: optimized geometry, GGA-PBE.

SG = F-43m

Cell lengths 4.827, 4.827, 4.827 Å; angles 60.00, 60.00, 60.00 degrees
Fractional positions:
1 K 0.000 0.000 0.000
2 Co 0.750 0.750 0.750
3 W 0.250 0.250 0.250


b:
KCoW: optimized geometry, GGA-PBE.

SG = F-43m

Cell lengths 4.435, 4.435, 4.435 Å; angles 60.00, 60.00, 60.00 degrees
Fractional positions:
1 K 0.000 0.000 0.000
2 Co 0.250 0.250 0.250
3 W 0.500 0.500 0.500


Verdict on stability: b comes out on top.


a:
LiLaTaCo: optimized geometry, GGA-PBE.

SG = F-43m

Cell lengths 4.605, 4.605, 4.605 Å; angles 60.00, 60.00, 60.00 degrees
Fractional positions:
1 Li 0.000 0.000 0.000
2 La 0.500 0.500 0.500
3 Ta 0.750 0.750 0.750
4 Co 0.250 0.250 0.250


b:
LiLaTaCo: optimized geometry, GGA-PBE.

SG = F-43m

Cell lengths 4.636, 4.636, 4.636 Å; angles 60.00, 60.00, 60.00 degrees
Fractional positions:
1 Li 0.000 0.000 0.000
2 La 0.250 0.250 0.250
3 Ta 0.500 0.500 0.500
4 Co 0.750 0.750 0.750


Verdict on stability: b comes out on top.


a:
LaMgCoPb: optimized geometry, GGA-PBE.

SG = F-43m

Cell lengths 4.939, 4.939, 4.939 Å; angles 60.00, 60.00, 60.00 degrees
Fractional positions:
1 La 0.000 0.000 0.000
2 Mg 0.750 0.750 0.750
3 Co 0.250 0.250 0.250
4 Pb 0.500 0.500 0.500


b:
LaMgCoPb: optimized geometry, GGA-PBE.

SG = F-43m

Cell lengths 5.043, 5.043, 5.043 Å; angles 60.00, 60.00, 60.00 degrees
Fractional positions:
1 La 0.000 0.000 0.000
2 Mg 0.750 0.750 0.750
3 Co 0.500 0.500 0.500
4 Pb 0.250 0.250 0.250


Verdict on stability: a comes out on top.


a:
NaLaNbCo: optimized geometry, GGA-PBE.

SG = F-43m

Cell lengths 4.874, 4.874, 4.874 Å; angles 60.00, 60.00, 60.00 degrees
Fractional positions:
1 Na 0.000 0.000 0.000
2 La 0.250 0.250 0.250
3 Nb 0.750 0.750 0.750
4 Co 0.500 0.500 0.500


b:
NaLaNbCo: optimized geometry, GGA-PBE.

SG = F-43m

Cell lengths 4.916, 4.916, 4.916 Å; angles 60.00, 60.00, 60.00 degrees
Fractional positions:
1 Na 0.000 0.000 0.000
2 La 0.500 0.500 0.500
3 Nb 0.750 0.750 0.750
4 Co 0.250 0.250 0.250


c:
NaLaNbCo: optimized geometry, GGA-PBE.

SG = F-43m

Cell lengths 4.800, 4.800, 4.800 Å; angles 60.00, 60.00, 60.00 degrees
Fractional positions:
1 Na 0.000 0.000 0.000
2 La 0.250 0.250 0.250
3 Nb 0.500 0.500 0.500
4 Co 0.750 0.750 0.750


Verdict on stability: a comes out on top.


a:
NaLaCoS3: optimized geometry, GGA-PBE.

SG = Pnma

Cell lengths 11.222, 4.040, 11.542 Å; angles 90.00, 90.00, 90.00 degrees
Fractional positions:
1 Na 0.156 0.250 0.012
2 Na 0.344 0.750 0.512
3 Na 0.656 0.250 0.488
4 Na 0.844 0.750 0.988
5 La 0.021 0.250 0.677
6 La 0.479 0.750 0.177
7 La 0.521 0.250 0.823
8 La 0.979 0.750 0.323
9 Co 0.244 0.250 0.291
10 Co 0.256 0.750 0.791
11 Co 0.744 0.250 0.209
12 Co 0.756 0.750 0.709
13 S 0.065 0.750 0.850
14 S 0.117 0.250 0.441
15 S 0.214 0.750 0.197
16 S 0.286 0.250 0.697
17 S 0.383 0.750 0.941
18 S 0.435 0.250 0.350
19 S 0.565 0.750 0.650
20 S 0.617 0.250 0.059
21 S 0.714 0.750 0.303
22 S 0.786 0.250 0.803
23 S 0.883 0.750 0.559
24 S 0.935 0.250 0.150


b:
NaLaCoS3: optimized geometry, GGA-PBE.

SG = Cmcm

Cell lengths 6.548, 6.548, 11.144 Å; angles 90.00, 90.00, 144.31 degrees
Fractional positions:
1 Na 0.247 0.753 0.750
2 Na 0.753 0.247 0.250
3 La 0.000 0.000 0.000
4 La 0.000 0.000 0.500
5 Co 0.472 0.528 0.250
6 Co 0.528 0.472 0.750
7 S 0.073 0.927 0.250
8 S 0.362 0.638 0.091
9 S 0.362 0.638 0.409
10 S 0.638 0.362 0.591
11 S 0.638 0.362 0.909
12 S 0.927 0.073 0.750


Verdict on stability: a comes out on top.